# NaLaS2 PBE-GGA optimized geometry
data_NaLaS2
_chemical_formula_sum 'Na1 La1 S2'
_symmetry_space_group_name_H-M 'P 1'
_symmetry_Int_Tables_number 1
_cell_length_a 4.1854
_cell_length_b 4.1854
_cell_length_c 7.4392
_cell_angle_alpha 73.66
_cell_angle_beta 73.66
_cell_angle_gamma 60.00
loop_
_symmetry_equiv_pos_as_xyz
'x,y,z'
loop_
_atom_site_label
_atom_site_type_symbol
_atom_site_fract_x
_atom_site_fract_y
_atom_site_fract_z
S1 S 0.2597 0.2597 0.2210
La1 La 0.6681 0.6681 0.9956
S2 S 0.0775 0.0775 0.7674
Na1 Na 0.4947 0.4947 0.5159
# SG ... R3m
# DOS at the Fermi energy ... 0.00 states/eV per cell
# Mass density ... 3516 kg/m³
# E ... -21.7 eV per cell

***

# K4Pr3TiO8 PBE-GGA optimized geometry
data_K4Pr3TiO8
_chemical_formula_sum 'K4 Pr3 Ti1 O8'
_symmetry_space_group_name_H-M 'P 1'
_symmetry_Int_Tables_number 1
_cell_length_a 7.0936
_cell_length_b 7.4924
_cell_length_c 7.1076
_cell_angle_alpha 118.28
_cell_angle_beta 119.93
_cell_angle_gamma 90.00
loop_
_symmetry_equiv_pos_as_xyz
'x,y,z'
loop_
_atom_site_label
_atom_site_type_symbol
_atom_site_fract_x
_atom_site_fract_y
_atom_site_fract_z
O1 O 0.7328 0.6993 0.4655
Ti1 Ti 0.0000 0.5000 0.0000
K1 K 0.0000 0.0000 0.0000
O2 O 0.2207 0.6904 0.4414
O3 O 0.7602 0.6802 0.9707
K2 K 0.0000 0.0000 0.5000
O4 O 0.2672 0.3007 0.5345
Pr1 Pr 0.5000 0.5000 0.5000
Pr2 Pr 0.5000 0.5000 0.0000
O5 O 0.2105 0.6802 0.9707
K3 K 0.5000 0.0000 0.5000
O6 O 0.2398 0.3198 0.0293
O7 O 0.7895 0.3198 0.0293
Pr3 Pr 0.0000 0.5000 0.5000
O8 O 0.7793 0.3096 0.5586
K4 K 0.5000 0.0000 0.0000
# SG ... C2/m
# DOS at the Fermi energy ... 3.73 states/eV per cell
# Mass density ... 4574 kg/m³
# E ... -105.1 eV per cell

***

# FeRe2Te PBE-GGA optimized geometry
data_FeRe2Te
_chemical_formula_sum 'Fe1 Re2 Te1'
_symmetry_space_group_name_H-M 'P 1'
_symmetry_Int_Tables_number 1
_cell_length_a 3.1185
_cell_length_b 3.1244
_cell_length_c 7.1844
_cell_angle_alpha 64.26
_cell_angle_beta 90.00
_cell_angle_gamma 90.00
loop_
_symmetry_equiv_pos_as_xyz
'x,y,z'
loop_
_atom_site_label
_atom_site_type_symbol
_atom_site_fract_x
_atom_site_fract_y
_atom_site_fract_z
Te1 Te 0.5000 0.2500 0.2500
Fe1 Fe 0.5000 0.7500 0.7500
Re1 Re 0.0000 0.0352 0.9651
Re2 Re 0.0000 0.4648 0.5349
# SG ... P4/mmm
# DOS at the Fermi energy ... 2.30 states/eV per cell
# Mass density ... 14638 kg/m³
# E ... -34.3 eV per cell